Record 1
This record from Alexandria describes an optimized crystal structure of TbPmHo4. The functional is PBE.

a = 10.6968 Å, b = 6.1743 Å, c = 12.0372 Å
α = 90.00°, β = 107.18°, γ = 90.00°
Space group C2/c (No. 15)
One atom of each set of equivalent atoms:
Tb (0.2500, 0.2500, 0.0000)
Pm (0.0000, 0.0821, 0.7500)
Ho (0.0838, 0.2515, 0.5001)
Ho (0.1665, 0.4164, 0.2499)

- Total energy: -4.609 eV/atom
- ΔH_f (0 K): 6 meV per atom
- Distance to the lowest polymorph of the same formula: 0 meV per atom
- Magnetization: 0.000 μB/atom

Record 2
This record from Alexandria describes an optimized crystal structure of TbPm2Ho3. The functional is PBE.

a = 16.6880 Å, b = 5.6634 Å, c = 9.7610 Å
α = 90.00°, β = 122.41°, γ = 90.00°
Space group C2/m (No. 12)
One atom of each set of equivalent atoms:
Tb (0.0494, 0.0000, 0.1844)
Pm (0.1072, 0.0000, 0.5582)
Pm (0.1477, 0.5000, 0.1531)
Ho (0.0481, 0.5000, 0.7154)
Ho (0.1910, 0.0000, 0.9928)
Ho (0.2127, 0.5000, 0.5643)

- Total energy: -4.532 eV/atom
- ΔH_f (0 K): 112 meV per atom
- Distance to the lowest polymorph of the same formula: 12 meV per atom
- Magnetization: 0.000 μB/atom

Record 3
This record from Alexandria describes an optimized crystal structure of TbPm4Ho. The functional is PBE.

a = 9.4041 Å, b = 9.4041 Å, c = 9.4041 Å
α = 90.00°, β = 90.00°, γ = 90.00°
Space group F-43m (No. 216)
One atom of each set of equivalent atoms:
Tb (0.0000, 0.0000, 0.0000)
Pm (0.1248, 0.1248, 0.6248)
Ho (0.2500, 0.2500, 0.2500)

- Total energy: -4.440 eV/atom
- ΔH_f (0 K): 262 meV per atom
- Distance to the lowest polymorph of the same formula: 194 meV per atom
- Magnetization: 0.000 μB/atom

Record 4
This record from Alexandria describes an optimized crystal structure of Tb8Pm3Ho2. The functional is PBE.

a = 20.0937 Å, b = 7.7047 Å, c = 5.6673 Å
α = 90.00°, β = 90.05°, γ = 90.00°
Space group C2/m (No. 12)
One atom of each set of equivalent atoms:
Tb (0.1087, 0.2091, 0.0003)
Tb (0.1350, 0.5000, 0.4993)
Tb (0.1717, 0.0000, 0.5013)
Pm (0.0000, 0.2093, 0.5000)
Pm (0.0000, 0.5000, 0.0000)
Ho (0.2415, 0.5000, 0.9984)

- Total energy: -4.413 eV/atom
- ΔH_f (0 K): 237 meV per atom
- Distance to the lowest polymorph of the same formula: 220 meV per atom
- Magnetization: 0.000 μB/atom